Run 1
A crystal of Sr2LaCo relaxed with PBEsol, computed with SCAN.

Cell and atoms, written as POSCAR:
```
Sr2LaCo
1.0
-3.2541 -1.9657 0.0512
-0.0331 -3.6500 -1.0639
0.8532 -4.8348 9.7673
La Co Sr
1 1 2
Direct
0.0000 0.0000 0.0000
0.5000 0.5000 0.5000
0.2263 0.2263 0.3212
0.7737 0.7737 0.6788
```

M_tot in μB/atom: 0.44
Calculated volume in Å³/f.u.: 134

Run 2
A crystal of Sr2LaCo relaxed with PBEsol, computed with SCAN.

Cell and atoms, written as POSCAR:
```
Sr2LaCo
1.0
3.7554 0.0000 0.0000
0.0000 4.0416 -0.0072
0.0000 -2.0094 8.9943
Sr Co La
2 1 1
Direct
0.5000 0.5922 0.3109
0.0000 0.9107 0.9447
0.0000 0.7387 0.6029
0.5000 0.2584 0.6415
```

M_tot in μB/atom: 0.00
Calculated volume in Å³/f.u.: 136

The most stable of them is run 2.

Run 1
A crystal of SrLa2Co relaxed with PBEsol, computed with SCAN.

Cell and atoms, written as POSCAR:
```
SrLa2Co
1.0
-1.4399 2.4508 2.8502
0.4361 -0.9569 3.8856
8.2483 5.2887 2.4618
La Co Sr
2 1 1
Direct
0.7153 0.7153 0.8541
0.2847 0.2847 0.1459
0.0000 0.0000 0.0000
0.5000 0.5000 0.5000
```

M_tot in μB/atom: 0.02
Calculated volume in Å³/f.u.: 138

Run 2
A crystal of SrLa2Co relaxed with PBEsol, computed with SCAN.

Cell and atoms, written as POSCAR:
```
SrLa2Co
1.0
-2.6016 -3.1773 1.7399
0.3861 -2.3732 -3.7563
5.4699 0.3041 3.0179
La Sr Co
2 1 1
Direct
0.0000 0.0000 0.0000
0.7500 0.2500 0.5000
0.5000 0.5000 0.0000
0.2500 0.7500 0.5000
```

M_tot in μB/atom: 0.32
Calculated volume in Å³/f.u.: 107

The most stable of them is run 1.

Run 1
A crystal of LaYCo2 relaxed with PBEsol, computed with SCAN.

Cell and atoms, written as POSCAR:
```
LaYCo2
1.0
-1.0859 -3.5500 1.0330
2.3403 0.2165 3.2041
-5.1320 1.9061 1.1556
La Y Co
1 1 2
Direct
0.0000 0.1038 0.2076
0.5000 0.3901 0.7803
0.0000 0.8150 0.6300
0.5000 0.6953 0.3906
```

M_tot in μB/atom: 0.29
Calculated volume in Å³/f.u.: 80

Run 2
A crystal of LaYCo2 relaxed with PBEsol, computed with SCAN.

Cell and atoms, written as POSCAR:
```
LaYCo2
1.0
-2.2464 1.4814 2.3481
2.4787 -0.9498 2.9705
2.6074 4.8657 -3.2911
Y La Co
1 1 2
Direct
0.2563 0.7563 0.5125
0.4878 0.4878 0.9757
0.6858 0.1858 0.3717
0.0701 0.0701 0.1401
```

M_tot in μB/atom: 0.31
Calculated volume in Å³/f.u.: 83

The most stable of them is run 1.